# Be2CuPdRu

A relaxed structure of Be2CuPdRu (PBEsol, Alexandria). Values from VASP.

Structure (Quantum ESPRESSO input):
```
&SYSTEM
  ibrav = 0, nat = 5, ntyp = 4
/
ATOMIC_SPECIES
Be 9.01 Be.upf
Cu 63.55 Cu.upf
Pd 106.42 Pd.upf
Ru 101.07 Ru.upf
CELL_PARAMETERS angstrom
3.9260 0.0000 0.0000
0.0000 3.9260 0.0000
0.0000 0.0000 4.4030
ATOMIC_POSITIONS crystal
Be 0.0000 0.5000 0.0000
Be 0.5000 0.0000 0.0000
Cu 0.0000 0.0000 0.0000
Pd 0.0000 0.0000 0.5000
Ru 0.5000 0.5000 0.5000
```

Output
space-group type: P4/mmm (123)
total moment: 0.276 μB/atom
DOS(E_F): 4.000 states/eV per cell
VASP energy: -0.347 Ry per atom